No. 1
Here is crystalline La2In at its relaxed geometry from the Alexandria database. Energies are from PBE.

Summary:
- Calculated formation energy: -5 kJ per mole of atoms
- ρ: 5.42 g/cm3

abc: 7.8347 7.8347 7.8347
angles: 90.00 90.00 90.00
Element x y z (fractional)
La (0.3300, 0.3300, 0.6700)
La (0.3300, 0.1700, 0.1700)
La (0.1700, 0.8300, 0.6700)
La (0.8300, 0.3300, 0.8300)
La (0.1700, 0.6700, 0.1700)
La (0.6700, 0.8300, 0.8300)
La (0.8300, 0.1700, 0.3300)
La (0.6700, 0.6700, 0.3300)
In (0.5000, 0.5000, 0.0000)
In (0.0000, 0.0000, 0.0000)
In (0.5000, 0.0000, 0.5000)
In (0.0000, 0.5000, 0.5000)

***

No. 2
Here is crystalline LaIn4 at its relaxed geometry from the Alexandria database. Energies are from PBE.

Summary:
- Calculated formation energy: 61 kJ per mole of atoms
- ρ: 4.34 g/cm3

abc: 6.1163 6.1163 6.1163
angles: 90.00 90.00 90.00
Element x y z (fractional)
In (0.5000, 0.0000, 0.5000)
In (0.0000, 0.5000, 0.5000)
In (0.5000, 0.5000, 0.0000)
In (0.0000, 0.0000, 0.0000)
La (0.5000, 0.5000, 0.5000)

***

No. 3
Here is crystalline La8In at its relaxed geometry from the Alexandria database. Energies are from PBE.

Summary:
- Calculated formation energy: -10 kJ per mole of atoms
- ρ: 6.53 g/cm3

abc: 9.9590 6.3073 6.3074
angles: 119.93 102.13 102.13
Element x y z (fractional)
La (0.6779, 0.4745, 0.4744)
La (0.3258, 0.9046, 0.2155)
La (0.6742, 0.7843, 0.0953)
La (0.9999, 0.3341, 0.6658)
La (0.3258, 0.2157, 0.9047)
La (0.0001, 0.6659, 0.3342)
La (0.3221, 0.5255, 0.5256)
La (0.6742, 0.0954, 0.7845)
In (0.0000, 0.0000, 0.0000)

***

No. 4
Here is crystalline LaIn5 at its relaxed geometry from the Alexandria database. Energies are from PBE.

Summary:
- Calculated formation energy: -17 kJ per mole of atoms
- ρ: 7.05 g/cm3

abc: 6.1930 6.1930 6.1930
angles: 60.00 60.00 60.00
Element x y z (fractional)
La (0.0000, 0.0000, 0.0000)
In (0.6245, 0.6245, 0.6245)
In (0.6245, 0.1264, 0.6245)
In (0.2500, 0.2500, 0.2500)
In (0.1264, 0.6245, 0.6245)
In (0.6245, 0.6245, 0.1264)

***

No. 5
Here is crystalline La2In at its relaxed geometry from the Alexandria database. Energies are from PBE.

Summary:
- Calculated formation energy: -29 kJ per mole of atoms
- ρ: 6.91 g/cm3

abc: 5.3259 5.3259 3.8399
angles: 90.00 90.00 120.00
Element x y z (fractional)
La (0.3333, 0.6667, 0.6800)
La (0.6667, 0.3333, 0.3200)
In (0.0000, 0.0000, 0.0000)

***

No. 6
Here is crystalline La4In at its relaxed geometry from the Alexandria database. Energies are from PBE.

Summary:
- Calculated formation energy: -23 kJ per mole of atoms
- ρ: 6.70 g/cm3

abc: 6.2781 5.0000 12.5740
angles: 113.36 80.81 113.49
Element x y z (fractional)
La (0.4839, 0.4846, 0.0427)
La (0.4836, 0.4844, 0.5427)
La (0.7140, 0.8981, 0.8420)
La (0.7147, 0.8985, 0.3420)
La (0.8852, 0.3015, 0.6581)
La (0.1163, 0.7156, 0.4574)
La (0.1160, 0.7153, 0.9572)
La (0.8862, 0.3019, 0.1580)
In (0.2997, 0.0999, 0.7501)
In (0.3004, 0.1001, 0.2500)

***

No. 7
Here is crystalline La7In3 at its relaxed geometry from the Alexandria database. Energies are from PBE.

Summary:
- Calculated formation energy: -33 kJ per mole of atoms
- ρ: 6.73 g/cm3

abc: 5.4996 7.0891 9.4666
angles: 111.98 106.89 90.00
Element x y z (fractional)
La (0.6026, 0.8744, 0.2053)
La (0.7962, 0.7960, 0.5923)
La (0.3975, 0.6688, 0.7951)
La (0.3974, 0.1256, 0.7947)
La (0.6025, 0.3312, 0.2049)
La (0.0000, 0.5000, 0.0000)
La (0.2038, 0.2040, 0.4077)
In (0.1969, 0.6969, 0.3939)
In (0.0000, 0.0000, 0.0000)
In (0.8031, 0.3031, 0.6061)

***

No. 8
Here is crystalline LaIn2 at its relaxed geometry from the Alexandria database. Energies are from PBE.

Summary:
- Calculated formation energy: -7 kJ per mole of atoms
- ρ: 5.85 g/cm3

abc: 5.2889 5.2889 5.2889
angles: 60.00 60.00 60.00
Element x y z (fractional)
La (0.0000, 0.0000, 0.0000)
In (0.7500, 0.7500, 0.7500)
In (0.2500, 0.2500, 0.2500)